1.
A plane-wave DFT calculation with PBE was carried out for a geometry-optimized NaNbZnTe3 structure.

Values from the calculation:
**Space-group type**: Cmcm, No. 63

Unit cell a=7.656 b=7.656 c=10.846 alpha=90.00 beta=90.00 gamma=149.62
Sites, in units of the cell vectors:
Na  0.234  0.766  0.750
Na  0.766  0.234  0.250
Nb  0.000  0.000  0.000
Nb  0.000  0.000  0.500
Zn  0.465  0.535  0.250
Zn  0.535  0.465  0.750
Te  0.083  0.917  0.250
Te  0.363  0.637  0.049
Te  0.363  0.637  0.451
Te  0.637  0.363  0.549
Te  0.637  0.363  0.951
Te  0.917  0.083  0.750

---

2.
A plane-wave DFT calculation with PBE was carried out for a geometry-optimized Na2NbTl structure.

Values from the calculation:
**Space-group type**: F-43m, No. 216

Unit cell a=7.120 b=7.120 c=7.120 alpha=90.00 beta=90.00 gamma=90.00
Sites, in units of the cell vectors:
Na  0.000  0.000  0.000
Na  0.000  0.500  0.500
Na  0.250  0.250  0.250
Na  0.250  0.750  0.750
Na  0.500  0.000  0.500
Na  0.500  0.500  0.000
Na  0.750  0.250  0.750
Na  0.750  0.750  0.250
Nb  0.250  0.250  0.750
Nb  0.250  0.750  0.250
Nb  0.750  0.250  0.250
Nb  0.750  0.750  0.750
Tl  0.000  0.000  0.500
Tl  0.000  0.500  0.000
Tl  0.500  0.000  0.000
Tl  0.500  0.500  0.500

---

3.
A plane-wave DFT calculation with PBE was carried out for a geometry-optimized NaNbTl structure.

Values from the calculation:
**Space-group type**: F-43m, No. 216
**Energy above the lowest structure with this stoichiometry**: 0.00 eV/f.u.

Unit cell a=6.770 b=6.770 c=6.770 alpha=90.00 beta=90.00 gamma=90.00
Sites, in units of the cell vectors:
Na  0.000  0.000  0.000
Na  0.000  0.500  0.500
Na  0.500  0.000  0.500
Na  0.500  0.500  0.000
Nb  0.000  0.000  0.500
Nb  0.000  0.500  0.000
Nb  0.500  0.000  0.000
Nb  0.500  0.500  0.500
Tl  0.250  0.250  0.250
Tl  0.250  0.750  0.750
Tl  0.750  0.250  0.750
Tl  0.750  0.750  0.250

---

| no. | DFT total energy (eV/f.u.) |
| --- | --- |
| 1 | -24.46 |
| 2 | -12.38 |
| 3 | -10.67 |